*1*
! La2Sm3Tm4 (PBE-GGA, optimized geometry); values from VASP
&SYSTEM
  ibrav = 0, nat = 9, ntyp = 3
/
ATOMIC_SPECIES
La 138.91 La.upf
Sm 150.36 Sm.upf
Tm 168.93 Tm.upf
CELL_PARAMETERS angstrom
-0.543 -3.153 -3.957
6.720 -3.812 2.115
-5.608 -1.804 5.478
ATOMIC_POSITIONS crystal
La 0.334 0.000 0.668
La 0.666 0.000 0.332
Sm 0.889 0.337 0.779
Sm 0.111 0.663 0.221
Sm 0.000 0.000 0.000
Tm 0.558 0.339 0.115
Tm 0.778 0.661 0.556
Tm 0.442 0.661 0.885
Tm 0.222 0.339 0.444
! M_tot (μB/cell): 0.00
! N(E_F) (states/eV per cell): 13.711

***

*2*
! La2Sm3Tm4 (PBE-GGA, optimized geometry); values from VASP
&SYSTEM
  ibrav = 0, nat = 9, ntyp = 3
/
ATOMIC_SPECIES
La 138.91 La.upf
Sm 150.36 Sm.upf
Tm 168.93 Tm.upf
CELL_PARAMETERS angstrom
6.748 -0.933 -1.405
-3.872 5.604 -1.405
0.450 0.731 8.434
ATOMIC_POSITIONS crystal
La 0.615 0.615 0.231
La 0.385 0.385 0.769
Sm 0.500 0.000 0.000
Sm 0.000 0.500 0.000
Sm 0.000 0.000 0.000
Tm 0.332 0.046 0.378
Tm 0.668 0.954 0.622
Tm 0.954 0.668 0.622
Tm 0.046 0.332 0.378
! M_tot (μB/cell): 0.00
! N(E_F) (states/eV per cell): 16.745

***

*1* is the most stable structure; the next one sits 15.2 kJ/mol of atoms above it.

***

*1*
! LaSm4Tm4 (PBE-GGA, optimized geometry); values from VASP
&SYSTEM
  ibrav = 0, nat = 9, ntyp = 3
/
ATOMIC_SPECIES
La 138.91 La.upf
Sm 150.36 Sm.upf
Tm 168.93 Tm.upf
CELL_PARAMETERS angstrom
-1.973 3.131 3.415
-5.748 -3.918 3.984
4.148 -0.772 6.817
ATOMIC_POSITIONS crystal
La 0.000 0.000 0.000
Sm 0.668 0.332 0.332
Sm 0.332 0.668 0.668
Sm 0.000 0.668 0.332
Sm 0.000 0.332 0.668
Tm 0.668 0.664 0.000
Tm 0.332 0.336 0.000
Tm 0.668 0.000 0.664
Tm 0.332 0.000 0.336
! M_tot (μB/cell): 0.00
! N(E_F) (states/eV per cell): 13.013

***

*2*
! LaSm4Tm4 (PBE-GGA, optimized geometry); values from VASP
&SYSTEM
  ibrav = 0, nat = 18, ntyp = 3
/
ATOMIC_SPECIES
La 138.91 La.upf
Sm 150.36 Sm.upf
Tm 168.93 Tm.upf
CELL_PARAMETERS angstrom
7.504 -4.559 -1.541
-4.167 9.351 -0.670
-1.720 -1.276 12.328
ATOMIC_POSITIONS crystal
La 0.499 0.499 0.751
La 0.501 0.501 0.249
Sm 0.170 0.838 0.474
Sm 0.170 0.835 0.974
Sm 0.505 0.838 0.697
Sm 0.163 0.498 0.360
Sm 0.837 0.502 0.640
Sm 0.495 0.162 0.303
Sm 0.830 0.165 0.026
Sm 0.830 0.162 0.526
Tm 0.165 0.498 0.864
Tm 0.500 0.833 0.193
Tm 0.165 0.167 0.415
Tm 0.172 0.169 0.918
Tm 0.835 0.833 0.585
Tm 0.828 0.831 0.082
Tm 0.835 0.502 0.136
Tm 0.500 0.167 0.807
! M_tot (μB/cell): 0.00
! N(E_F) (states/eV per cell): 26.704

***

*2* is the most stable structure; the next one sits 1.1 kJ/mol of atoms above it.

***

*1*
! LaSm4Tm (PBE-GGA, optimized geometry); values from VASP
&SYSTEM
  ibrav = 0, nat = 6, ntyp = 3
/
ATOMIC_SPECIES
La 138.91 La.upf
Sm 150.36 Sm.upf
Tm 168.93 Tm.upf
CELL_PARAMETERS angstrom
3.460 0.000 0.000
1.730 5.924 -0.177
1.730 0.073 10.096
ATOMIC_POSITIONS crystal
La 0.500 0.500 0.500
Sm 0.655 0.539 0.152
Sm 0.345 0.461 0.848
Sm 0.154 0.034 0.659
Sm 0.846 0.966 0.341
Tm 0.000 0.000 0.000
! M_tot (μB/cell): 0.00
! N(E_F) (states/eV per cell): 11.587

***

*2*
! LaSm4Tm (PBE-GGA, optimized geometry); values from VASP
&SYSTEM
  ibrav = 0, nat = 12, ntyp = 3
/
ATOMIC_SPECIES
La 138.91 La.upf
Sm 150.36 Sm.upf
Tm 168.93 Tm.upf
CELL_PARAMETERS angstrom
3.633 0.000 0.000
0.000 11.830 -2.207
0.000 -2.613 9.893
ATOMIC_POSITIONS crystal
La 0.000 0.000 0.500
La 0.500 0.500 0.000
Sm 0.500 0.167 0.329
Sm 0.000 0.333 0.171
Sm 0.500 0.833 0.671
Sm 0.000 0.667 0.829
Sm 0.000 0.666 0.337
Sm 0.500 0.834 0.163
Sm 0.000 0.334 0.663
Sm 0.500 0.166 0.837
Tm 0.500 0.500 0.500
Tm 0.000 0.000 0.000
! M_tot (μB/cell): 0.00
! N(E_F) (states/eV per cell): 18.044

***

*3*
! LaSm4Tm (PBE-GGA, optimized geometry); values from VASP
&SYSTEM
  ibrav = 0, nat = 6, ntyp = 3
/
ATOMIC_SPECIES
Tm 168.93 Tm.upf
Sm 150.36 Sm.upf
La 138.91 La.upf
CELL_PARAMETERS angstrom
6.679 0.000 0.000
3.339 5.784 0.000
3.339 1.928 5.453
ATOMIC_POSITIONS crystal
Tm 0.000 0.000 0.000
Sm 0.626 0.626 0.122
Sm 0.626 0.122 0.626
Sm 0.626 0.626 0.626
Sm 0.122 0.626 0.626
La 0.250 0.250 0.250
! M_tot (μB/cell): 0.00
! N(E_F) (states/eV per cell): 10.314

***

*2* is the most stable structure; the next one sits 15.9 kJ/mol of atoms above it.

***

*1*
! La4Sm4Tm3 (PBE-GGA, optimized geometry); values from VASP
&SYSTEM
  ibrav = 0, nat = 11, ntyp = 3
/
ATOMIC_SPECIES
La 138.91 La.upf
Sm 150.36 Sm.upf
Tm 168.93 Tm.upf
CELL_PARAMETERS angstrom
3.599 0.000 -0.663
-0.860 8.296 -4.670
0.358 1.310 12.043
ATOMIC_POSITIONS crystal
La 0.644 0.475 0.287
La 0.356 0.188 0.713
La 0.356 0.525 0.713
La 0.644 0.812 0.287
Sm 0.733 0.233 0.467
Sm 0.267 0.767 0.533
Sm 0.500 0.813 0.000
Sm 0.500 0.187 0.000
Tm 0.897 0.897 0.794
Tm 0.103 0.103 0.206
Tm 0.000 0.500 0.000
! M_tot (μB/cell): 0.00
! N(E_F) (states/eV per cell): 17.051

***

*2*
! La4Sm4Tm3 (PBE-GGA, optimized geometry); values from VASP
&SYSTEM
  ibrav = 0, nat = 11, ntyp = 3
/
ATOMIC_SPECIES
La 138.91 La.upf
Sm 150.36 Sm.upf
Tm 168.93 Tm.upf
CELL_PARAMETERS angstrom
3.556 0.000 0.002
0.000 5.765 0.007
1.766 2.875 18.048
ATOMIC_POSITIONS crystal
La 0.592 0.093 0.815
La 0.271 0.271 0.457
La 0.729 0.729 0.542
La 0.408 0.907 0.185
Sm 0.544 0.545 0.911
Sm 0.456 0.455 0.089
Sm 0.317 0.818 0.364
Sm 0.683 0.182 0.636
Tm 0.136 0.636 0.729
Tm 0.864 0.364 0.271
Tm 0.000 0.000 0.000
! M_tot (μB/cell): 0.00
! N(E_F) (states/eV per cell): 19.640

***

*2* is the most stable structure; the next one sits 5.2 kJ/mol of atoms above it.

***

*1*
! La2SmTm3 (PBE-GGA, optimized geometry); values from VASP
&SYSTEM
  ibrav = 0, nat = 12, ntyp = 3
/
ATOMIC_SPECIES
La 138.91 La.upf
Sm 150.36 Sm.upf
Tm 168.93 Tm.upf
CELL_PARAMETERS angstrom
-0.675 -3.733 5.956
-0.468 -5.095 -7.432
7.023 0.352 1.017
ATOMIC_POSITIONS crystal
La 0.317 0.645 0.411
La 0.328 0.645 0.911
La 0.672 0.355 0.089
La 0.683 0.355 0.589
Sm 0.730 0.000 0.250
Sm 0.270 0.000 0.750
Tm 0.729 0.000 0.750
Tm 0.271 0.000 0.250
Tm 0.872 0.735 0.935
Tm 0.136 0.265 0.565
Tm 0.864 0.735 0.435
Tm 0.128 0.265 0.065
! M_tot (μB/cell): 0.00
! N(E_F) (states/eV per cell): 16.385

***

*2*
! La2SmTm3 (PBE-GGA, optimized geometry); values from VASP
&SYSTEM
  ibrav = 0, nat = 12, ntyp = 3
/
ATOMIC_SPECIES
La 138.91 La.upf
Sm 150.36 Sm.upf
Tm 168.93 Tm.upf
CELL_PARAMETERS angstrom
6.566 0.000 0.000
0.000 7.357 3.187
0.000 -0.826 7.975
ATOMIC_POSITIONS crystal
La 0.575 0.746 0.412
La 0.075 0.588 0.254
La 0.575 0.412 0.746
La 0.075 0.254 0.588
Sm 0.830 0.900 0.900
Sm 0.330 0.100 0.100
Tm 0.064 0.864 0.505
Tm 0.564 0.495 0.136
Tm 0.064 0.505 0.864
Tm 0.564 0.136 0.495
Tm 0.350 0.835 0.835
Tm 0.850 0.165 0.165
! M_tot (μB/cell): 0.00
! N(E_F) (states/eV per cell): 19.929

***

*1* is the most stable structure; the next one sits 5.7 kJ/mol of atoms above it.

***

*1*
! La3SmTm7 (PBE-GGA, optimized geometry); values from VASP
&SYSTEM
  ibrav = 0, nat = 11, ntyp = 3
/
ATOMIC_SPECIES
La 138.91 La.upf
Sm 150.36 Sm.upf
Tm 168.93 Tm.upf
CELL_PARAMETERS angstrom
8.740 0.000 0.000
0.000 7.040 0.000
0.000 -3.520 6.097
ATOMIC_POSITIONS crystal
La 0.784 0.500 0.500
La 0.784 0.500 0.001
La 0.784 0.999 0.500
Sm 0.443 0.333 0.667
Tm 0.124 0.167 0.833
Tm 0.124 0.167 0.334
Tm 0.125 0.667 0.333
Tm 0.441 0.833 0.167
Tm 0.441 0.334 0.167
Tm 0.441 0.833 0.666
Tm 0.124 0.666 0.833
! M_tot (μB/cell): 0.00
! N(E_F) (states/eV per cell): 17.204

***

*2*
! La3SmTm7 (PBE-GGA, optimized geometry); values from VASP
&SYSTEM
  ibrav = 0, nat = 11, ntyp = 3
/
ATOMIC_SPECIES
La 138.91 La.upf
Sm 150.36 Sm.upf
Tm 168.93 Tm.upf
CELL_PARAMETERS angstrom
5.030 5.743 -0.841
-5.030 5.743 -0.841
0.000 1.385 6.212
ATOMIC_POSITIONS crystal
La 0.819 0.181 0.000
La 0.000 0.000 0.500
La 0.181 0.819 0.000
Sm 0.500 0.500 0.500
Tm 0.760 0.760 0.206
Tm 0.427 0.092 0.264
Tm 0.908 0.573 0.736
Tm 0.092 0.427 0.264
Tm 0.500 0.500 0.000
Tm 0.573 0.908 0.736
Tm 0.240 0.240 0.794
! M_tot (μB/cell): 0.00
! N(E_F) (states/eV per cell): 17.192

***

*1* is the most stable structure; the next one sits 4.2 kJ/mol of atoms above it.

***

*1*
! La4Sm5Tm (PBE-GGA, optimized geometry); values from VASP
&SYSTEM
  ibrav = 0, nat = 10, ntyp = 3
/
ATOMIC_SPECIES
La 138.91 La.upf
Sm 150.36 Sm.upf
Tm 168.93 Tm.upf
CELL_PARAMETERS angstrom
6.291 0.000 0.000
3.145 7.501 0.000
3.145 0.000 7.501
ATOMIC_POSITIONS crystal
La 0.428 0.324 0.676
La 0.752 0.676 0.676
La 0.103 0.324 0.324
La 0.428 0.676 0.324
Sm 0.781 0.377 0.000
Sm 0.158 0.000 0.623
Sm 0.781 0.000 0.377
Sm 0.158 0.623 0.000
Sm 0.696 0.000 0.000
Tm 0.225 0.000 0.000
! M_tot (μB/cell): 0.00
! N(E_F) (states/eV per cell): 13.176

***

*2*
! La4Sm5Tm (PBE-GGA, optimized geometry); values from VASP
&SYSTEM
  ibrav = 0, nat = 10, ntyp = 3
/
ATOMIC_SPECIES
La 138.91 La.upf
Sm 150.36 Sm.upf
Tm 168.93 Tm.upf
CELL_PARAMETERS angstrom
-1.120 -1.630 -3.008
9.315 3.787 -5.520
4.924 -6.373 3.776
ATOMIC_POSITIONS crystal
La 0.660 0.251 0.320
La 0.030 0.752 0.061
La 0.340 0.749 0.680
La 0.970 0.248 0.939
Sm 0.172 0.950 0.343
Sm 0.173 0.554 0.347
Sm 0.827 0.446 0.653
Sm 0.500 0.500 0.000
Sm 0.828 0.050 0.657
Tm 0.500 0.000 0.000
! M_tot (μB/cell): 0.00
! N(E_F) (states/eV per cell): 15.427

***

*2* is the most stable structure; the next one sits 2.7 kJ/mol of atoms above it.

***

*1*
! La3Sm4Tm4 (PBE-GGA, optimized geometry); values from VASP
&SYSTEM
  ibrav = 0, nat = 11, ntyp = 3
/
ATOMIC_SPECIES
La 138.91 La.upf
Sm 150.36 Sm.upf
Tm 168.93 Tm.upf
CELL_PARAMETERS angstrom
-2.729 4.347 2.567
-1.816 -5.904 1.653
7.841 -0.053 8.427
ATOMIC_POSITIONS crystal
La 0.392 0.785 0.317
La 0.392 0.785 0.683
La 0.257 0.513 0.000
Sm 0.746 0.493 0.776
Sm 0.746 0.493 0.224
Sm 0.952 0.905 0.500
Sm 0.943 0.885 0.000
Tm 0.644 0.287 0.500
Tm 0.565 0.129 0.000
Tm 0.080 0.161 0.748
Tm 0.080 0.161 0.252
! M_tot (μB/cell): 0.00
! N(E_F) (states/eV per cell): 15.360

***

*2*
! La3Sm4Tm4 (PBE-GGA, optimized geometry); values from VASP
&SYSTEM
  ibrav = 0, nat = 11, ntyp = 3
/
ATOMIC_SPECIES
La 138.91 La.upf
Sm 150.36 Sm.upf
Tm 168.93 Tm.upf
CELL_PARAMETERS angstrom
-3.116 1.729 0.675
-2.310 -4.477 0.792
7.403 2.341 18.452
ATOMIC_POSITIONS crystal
La 0.637 0.637 0.275
La 0.363 0.363 0.725
La 0.000 0.000 0.000
Sm 0.547 0.547 0.093
Sm 0.453 0.453 0.907
Sm 0.816 0.816 0.632
Sm 0.184 0.184 0.368
Tm 0.091 0.091 0.182
Tm 0.272 0.272 0.544
Tm 0.728 0.728 0.456
Tm 0.909 0.909 0.818
! M_tot (μB/cell): 0.00
! N(E_F) (states/eV per cell): 15.841

***

*2* is the most stable structure; the next one sits 14.4 kJ/mol of atoms above it.